MnTlSi GGA-PBE optimized geometry; V = 17.19 A^3/atom; uncorrected formation energy = 0.487 eV/atom; total moment = 0.37 μB/cell; energy above the most stable polymorph in this dataset = 116 meV/atom
1.0
3.981 0.000 0.000
-1.990 3.447 0.000
0.000 0.000 3.758
Si Mn Tl
1 1 1
Cartesian
1.990 1.149 0.626
0.000 0.000 0.627
0.000 2.298 2.506

***

NdMg2Pb5 GGA-PBE optimized geometry; V = 28.92 A^3/atom; total moment = 0.00 μB/cell; calculated formation energy = -0.142 eV per atom
1.0
-1.579 -2.017 4.813
-2.672 -5.241 -3.073
11.102 -6.258 1.020
Pb Nd Mg
10 2 4
Cartesian
0.000 0.000 0.000
2.297 -2.746 -0.397
7.662 -6.241 -0.102
4.215 -5.749 -1.027
1.248 -7.522 0.345
0.768 -5.258 -1.952
-0.189 -3.338 1.627
6.133 -8.753 -1.656
7.040 -10.178 1.133
5.603 -5.994 2.414
5.551 -3.129 0.510
-1.336 -2.621 -1.537
8.491 -7.543 2.713
2.637 -5.010 1.854
-1.641 -5.973 0.047
4.214 -8.506 0.906

***

Na5Sr3H12 GGA-PBE optimized geometry; electronic total energy = -2.797 eV/atom; V = 16.03 A^3/atom; total moment = 0.04 μB/cell
1.0
-1.180 7.320 9.249
-0.064 -11.225 3.811
10.245 2.237 -5.529
H Sr Na
48 12 20
Cartesian
4.496 -1.359 8.550
7.763 7.636 3.997
3.498 -1.921 5.577
3.478 -4.472 6.439
3.798 -5.408 3.687
0.709 -3.441 2.354
3.806 -2.858 2.824
8.418 4.073 3.374
8.373 -2.423 -2.538
0.435 -1.775 4.452
6.171 -2.316 4.457
1.687 3.501 8.652
-0.359 3.873 6.942
0.628 0.756 10.070
7.465 -6.277 2.692
8.292 1.774 5.178
1.238 -9.303 3.535
9.360 -5.540 0.590
2.778 1.436 6.891
2.845 3.197 2.202
8.105 -0.766 -0.433
9.530 2.422 -3.310
1.800 -3.588 9.588
4.505 -0.308 -1.018
5.503 0.254 1.955
5.203 3.741 3.845
0.738 1.816 5.175
6.825 -0.845 7.299
2.177 -0.822 0.233
6.224 -3.103 0.641
3.562 -8.793 2.273
8.263 -3.483 2.357
2.830 0.649 3.075
8.566 0.108 3.080
0.896 -0.901 7.965
7.201 1.921 -2.056
1.536 4.610 4.840
5.523 2.805 1.093
3.583 4.226 6.546
0.583 -5.740 4.158
7.314 -5.168 -1.120
-0.529 -4.089 10.842
5.418 -5.893 0.986
8.679 2.407 1.275
5.195 1.191 4.708
6.156 -4.864 5.330
5.440 7.126 5.259
0.322 -4.074 6.257
5.913 -4.275 2.872
6.922 2.044 3.064
1.521 5.562 7.187
8.801 0.067 -2.729
3.539 1.266 0.715
0.200 -1.734 10.261
7.480 -7.229 0.345
8.629 -3.228 -0.143
0.372 1.561 7.675
2.079 -3.711 4.468
5.462 -2.933 6.817
3.088 2.608 4.660
0.930 -7.712 4.956
8.179 -1.886 3.802
-0.622 -1.952 6.530
4.533 4.779 1.860
5.090 -4.494 -0.859
5.122 1.119 -2.764
7.233 3.020 -0.202
-0.590 3.660 4.625
5.355 4.998 5.591
8.071 6.045 2.576
-0.032 -5.612 1.906
3.646 -6.665 1.941
0.822 0.219 3.730
1.768 -4.687 7.734
6.611 1.068 6.329
4.501 -0.833 3.766
0.000 0.000 0.000
2.917 -0.686 7.246
6.084 -0.981 0.286
2.390 -2.735 1.203

***

TaTi2Bi GGA-PBE optimized geometry; V = 20.36 A^3/atom; total moment = 0.01 μB/cell; calculated formation energy = 0.197 eV per atom
1.0
-0.224 2.428 -2.116
-2.659 1.828 -0.084
2.704 7.028 5.315
Bi Ti Ta
1 2 1
Cartesian
-0.090 5.642 1.557
-0.070 8.562 2.443
-0.110 2.721 0.672
0.000 0.000 0.000

***

SrHgPd2 GGA-PBE optimized geometry; V = 25.23 A^3/atom; total moment = 0.00 μB/cell; calculated formation energy = -0.393 eV per atom
1.0
6.937 -4.596 0.000
-3.333 10.032 0.000
0.000 0.000 7.440
Pd Hg Sr
8 4 4
Cartesian
3.468 -2.298 3.720
0.000 0.000 0.000
-0.296 7.081 6.384
1.802 2.718 3.720
-1.666 5.016 0.000
2.233 3.370 6.383
1.371 2.065 1.056
3.900 -1.646 1.056
-2.500 7.524 4.772
0.969 5.226 4.767
2.635 0.210 2.673
-0.833 2.508 2.667
2.635 0.210 6.019
6.103 -2.088 6.013
-2.500 7.524 1.426
0.969 5.226 1.421

***

Mg2AlGaW GGA-PBE optimized geometry; V = 27.51 A^3/atom; total moment = 1.70 μB/cell; calculated formation energy = 1.076 eV per atom
1.0
-2.403 2.988 3.634
1.839 -2.859 3.567
4.272 3.096 0.280
Ga W Al Mg
1 1 1 2
Cartesian
1.854 1.612 3.741
0.000 0.000 0.000
0.919 -1.430 1.784
2.136 1.548 0.140
-1.202 1.494 1.817

***

Tl2HgPb GGA-PBE optimized geometry; V = 29.88 A^3/atom; total moment = 0.00 μB/cell; calculated formation energy = 0.015 eV per atom
1.0
6.584 0.032 0.077
3.043 5.839 -0.077
-4.139 -4.041 3.146
Hg Tl Pb
1 2 1
Cartesian
4.825 2.943 0.000
3.517 -0.605 1.612
9.614 5.863 0.000
1.971 2.436 1.534

***

RbZnCd2Ge GGA-PBE optimized geometry; V = 32.16 A^3/atom; total moment = 0.00 μB/cell; calculated formation energy = 0.204 eV per atom
1.0
5.366 0.000 0.000
0.000 5.584 0.000
0.000 0.000 5.366
Zn Ge Cd Rb
1 1 2 1
Cartesian
0.000 2.792 0.000
0.000 0.000 0.000
2.683 0.000 0.000
0.000 0.000 2.683
2.683 2.792 2.683

***

SmMg2Zn2Hg2 GGA-PBE optimized geometry; V = 22.16 A^3/atom; total moment = 0.00 μB/cell; calculated formation energy = -0.229 eV per atom
1.0
-2.179 -0.549 -4.093
-0.129 -4.202 -2.031
-7.769 -3.279 1.912
Sm Zn Mg Hg
1 2 2 2
Cartesian
0.000 0.000 0.000
-2.434 -1.987 -1.101
-7.643 -6.043 -3.111
-4.954 -2.597 0.322
-5.123 -5.433 -4.534
-3.083 -3.541 -3.211
-6.995 -4.488 -1.001

***

Cs2KSrHg GGA-PBE optimized geometry; V = 72.31 A^3/atom; total moment = 0.00 μB/cell; calculated formation energy = -0.042 eV per atom
1.0
7.371 0.000 0.000
0.000 7.371 0.000
0.000 0.000 6.654
Cs Sr Hg K
2 1 1 1
Cartesian
3.686 0.000 0.000
0.000 3.686 0.000
0.000 0.000 3.327
0.000 0.000 0.000
3.686 3.686 3.327

***

RbZn2F GGA-PBE optimized geometry; V = 29.43 A^3/atom; uncorrected formation energy = -0.423 eV/atom; total moment = 0.00 μB/cell; energy above the most stable polymorph in this dataset = 289 meV/atom
1.0
0.000 3.890 3.890
3.890 0.000 3.890
3.890 3.890 0.000
Zn Rb F
2 1 1
Cartesian
1.945 1.945 1.945
5.835 5.835 5.835
3.890 3.890 3.890
0.000 0.000 0.000

***

Ta2Nb2Rh GGA-PBE optimized geometry; V = 17.40 A^3/atom; total moment = 0.00 μB/cell; calculated formation energy = -0.245 eV per atom
1.0
-1.915 2.473 -0.982
-1.473 0.023 2.929
7.165 4.063 1.736
Rh Nb Ta
1 2 2
Cartesian
0.000 0.000 0.000
1.587 4.433 2.598
2.191 2.127 1.085
-0.634 2.277 1.498
4.411 4.283 2.184

***

Sr2CaZnPd GGA-PBE optimized geometry; V = 38.55 A^3/atom; total moment = 0.00 μB/cell; energy above the most stable polymorph in this dataset = 0 meV/atom; calculated formation energy = -0.186 eV per atom
1.0
5.904 0.000 0.000
0.000 5.904 0.000
0.000 0.000 5.530
Sr Pd Ca Zn
2 1 1 1
Cartesian
2.952 0.000 0.000
0.000 2.952 0.000
0.000 0.000 0.000
0.000 0.000 2.765
2.952 2.952 2.765

***

BePS2Br GGA-PBE optimized geometry; V = 24.09 A^3/atom; uncorrected formation energy = 0.530 eV/atom; total moment = 1.31 μB/cell; energy above the most stable polymorph in this dataset = 0 meV/atom
1.0
-3.432 -0.280 2.068
1.198 -3.523 1.512
3.177 3.548 5.752
Be S P Br
1 2 1 1
Cartesian
0.000 0.000 0.000
0.599 -1.761 0.756
-1.716 -0.140 1.034
1.588 1.774 2.876
0.472 -0.127 4.666

***

PuTeI GGA-PBE optimized geometry; V = 41.95 A^3/atom; uncorrected formation energy = -1.032 eV/atom; total moment = 20.00 μB/cell; energy above the most stable polymorph in this dataset = 12 meV/atom
1.0
6.181 0.000 0.000
0.000 9.025 0.000
0.000 0.000 9.025
Pu Te I
4 4 4
Cartesian
0.000 4.512 6.804
3.091 6.804 4.512
3.091 2.221 4.512
0.000 4.512 2.221
3.091 4.512 6.639
0.000 6.639 4.512
0.000 2.386 4.512
3.091 4.512 2.386
0.000 6.659 0.000
0.000 2.366 0.000
3.091 0.000 2.366
3.091 0.000 6.659

***

Ho3BeGa3 GGA-PBE optimized geometry; V = 21.45 A^3/atom; total moment = 0.00 μB/cell; calculated formation energy = -0.504 eV per atom
1.0
3.996 0.000 -0.872
-0.204 4.018 -0.933
-0.053 0.047 9.352
Ho Ga Be
3 3 1
Cartesian
1.070 3.316 4.906
2.681 0.762 2.696
3.733 4.058 7.516
0.429 2.601 1.967
2.111 2.248 0.080
3.342 1.499 5.722
1.592 1.776 7.299

***

KBeTc2B GGA-PBE optimized geometry; V = 17.93 A^3/atom; total moment = 2.02 μB/cell; calculated formation energy = 2.056 eV per atom
1.0
-0.647 -4.021 -1.146
4.437 -1.268 1.946
-1.853 -0.764 3.726
Tc B Be K
2 1 1 1
Cartesian
-0.323 -2.011 -0.573
-0.926 -0.382 1.863
0.969 -3.027 2.263
0.000 0.000 0.000
2.218 -0.634 0.973

***

Zn6CoIr GGA-PBE optimized geometry; V = 13.59 A^3/atom; total moment = 1.60 μB/cell; energy above the most stable polymorph in this dataset = 0 meV/atom; calculated formation energy = -0.108 eV per atom
1.0
-2.260 5.899 1.775
-0.439 -4.183 5.036
9.874 2.819 3.202
Zn Co Ir
24 4 4
Cartesian
1.928 1.108 6.739
3.939 4.337 6.725
2.839 2.739 2.493
6.348 5.025 7.507
-1.052 2.884 5.111
5.763 0.920 4.107
0.310 2.017 1.673
3.290 0.242 3.301
4.092 -0.266 5.845
6.809 2.475 8.332
7.405 2.114 2.402
1.119 1.563 4.206
0.761 -0.480 2.481
-0.601 0.386 5.919
8.939 1.118 7.417
8.019 6.210 5.769
8.173 1.608 4.889
2.468 0.705 0.801
3.173 4.827 4.197
7.713 4.157 4.064
5.303 3.469 3.282
6.056 2.972 5.807
4.399 1.787 7.550
1.477 3.606 5.931
4.968 1.418 1.611
5.594 5.528 4.980
9.842 2.810 3.192
6.517 0.416 6.634
3.625 2.278 5.018
0.662 4.094 3.387
1.576 -0.969 5.025
8.487 3.666 6.596

***

MoAsBr2 GGA-PBE optimized geometry; V = 22.68 A^3/atom; uncorrected formation energy = 0.513 eV/atom; total moment = 0.00 μB/cell; energy above the most stable polymorph in this dataset = 688 meV/atom
1.0
3.079 0.000 0.000
0.000 3.079 0.000
0.000 0.000 9.572
Br As Mo
2 1 1
Cartesian
0.000 0.000 4.018
0.000 0.000 0.768
1.539 1.539 7.179
1.539 1.539 2.393

***

Na3MgSn GGA-PBE optimized geometry; V = 36.49 A^3/atom; total moment = 0.00 μB/cell; energy above the most stable polymorph in this dataset = 496 meV/atom; calculated formation energy = 0.444 eV per atom
1.0
-0.596 -3.628 4.319
-4.252 -2.565 -2.741
3.706 -3.526 -2.450
Na Sn Mg
3 1 1
Cartesian
1.853 -1.763 -1.225
-2.126 -1.282 -1.371
-0.298 -1.814 2.159
-0.571 -4.859 -0.436
0.000 0.000 0.000

***

Y3MoCl GGA-PBE optimized geometry; V = 25.98 A^3/atom; uncorrected formation energy = 0.126 eV/atom; total moment = 0.01 μB/cell; energy above the most stable polymorph in this dataset = 0 meV/atom
1.0
-1.809 4.324 1.919
-1.881 -2.542 3.956
4.341 0.700 2.514
Mo Y Cl
1 3 1
Cartesian
0.325 1.241 4.194
-0.940 -1.271 1.978
-0.904 2.162 0.959
2.170 0.350 1.257
0.000 0.000 0.000